! TmSn2HS4 PBE optimized geometry; values from VASP
! ρ ... 4.96 g cm⁻³
! Crystal system ... monoclinic
! Final energy ... -4.568 eV per atom
! Space-group type ... P2/m, No. 10
! Spin magnetization ... 0.58 μB/cell
! V ... 179.5 Å³ per cell
&SYSTEM
  ibrav = 0, nat = 8, ntyp = 4
/
ATOMIC_SPECIES
S 32.06 S.upf
Sn 118.71 Sn.upf
Tm 168.93 Tm.upf
H 1.01 H.upf
ATOMIC_POSITIONS angstrom
S 1.947 3.509 4.770
S 0.000 6.900 4.644
S 3.895 2.305 1.789
S 1.947 5.696 1.663
Sn 0.000 2.343 6.644
Sn 1.947 1.171 3.322
Tm 0.000 4.602 3.217
H 1.947 3.431 -0.105
CELL_PARAMETERS angstrom
3.895 0.000 0.000
0.000 6.862 -0.211
0.000 2.343 6.644